DFT (PBE) results for ZrCrSb2 after structural relaxation.

extended XYZ file:
```
4
Lattice="0.000 3.416 3.416 3.416 0.000 3.416 3.416 3.416 0.000" Properties=species:S:1:pos:R:3 pbc="T T T"
Sb 5.124 5.124 5.124
Sb 1.708 1.708 1.708
Zr 3.416 3.416 3.416
Cr 0.000 0.000 0.000
```

## Properties
SG: No. 225
Final energy in eV/atom: -6.5066
Formation energy (no corrections) in eV per atom: 0.0975
Energy above the lowest structure with this stoichiometry in eV per atom: 0.277